The following is a DFT calculation (GGA-PBE) of a relaxed PmPaPt4 crystal.

Unit cell a=5.4693 b=5.4693 c=5.4693 alpha=60.00 beta=60.00 gamma=60.00
Element x y z (fractional)
Pa 0.2500 0.2500 0.2500
Pt 0.6249 0.6249 0.1254
Pt 0.6249 0.1254 0.6249
Pt 0.6249 0.6249 0.6249
Pt 0.1254 0.6249 0.6249
Pm 0.0000 0.0000 0.0000

## Properties
formation energy from the elements: -927 meV per atom
calculated volume: 19.28 Å³/atom
spin magnetization: 0.0 μB per cell


The following is a DFT calculation (GGA-PBE) of a relaxed PmPaRePt crystal.

Unit cell a=4.9636 b=4.9636 c=4.9636 alpha=60.00 beta=60.00 gamma=60.00
Element x y z (fractional)
Re 0.5000 0.5000 0.5000
Pa 0.2500 0.2500 0.2500
Pt 0.0000 0.0000 0.0000
Pm 0.7500 0.7500 0.7500

## Properties
formation energy from the elements: -278 meV per atom
calculated volume: 21.62 Å³/atom
spin magnetization: 0.0 μB per cell


The following is a DFT calculation (GGA-PBE) of a relaxed PmPaRuPt crystal.

Unit cell a=4.9466 b=4.9466 c=4.9466 alpha=60.00 beta=60.00 gamma=60.00
Element x y z (fractional)
Ru 0.2500 0.2500 0.2500
Pa 0.0000 0.0000 0.0000
Pt 0.7500 0.7500 0.7500
Pm 0.5000 0.5000 0.5000

## Properties
formation energy from the elements: -535 meV per atom
calculated volume: 21.40 Å³/atom
spin magnetization: 0.0 μB per cell


The following is a DFT calculation (GGA-PBE) of a relaxed PmPaSbPt crystal.

Unit cell a=5.2216 b=5.2216 c=5.2216 alpha=60.00 beta=60.00 gamma=60.00
Element x y z (fractional)
Sb 0.0000 0.0000 0.0000
Pa 0.7500 0.7500 0.7500
Pt 0.5000 0.5000 0.5000
Pm 0.2500 0.2500 0.2500

## Properties
raw formation energy: -2.3 eV/f.u.
calculated volume: 25.17 Å³/atom
spin magnetization: 2.7 μB per cell


The following is a DFT calculation (GGA-PBE) of a relaxed PmPaSiPt crystal.

Unit cell a=5.0403 b=5.0403 c=5.0403 alpha=60.00 beta=60.00 gamma=60.00
Element x y z (fractional)
Si 0.2500 0.2500 0.2500
Pa 0.0000 0.0000 0.0000
Pt 0.7500 0.7500 0.7500
Pm 0.5000 0.5000 0.5000

## Properties
raw formation energy: -1.9 eV/f.u.
calculated volume: 22.64 Å³/atom
spin magnetization: 1.7 μB per cell


The following is a DFT calculation (GGA-PBE) of a relaxed PmPaTcPt crystal.

Unit cell a=4.9536 b=4.9536 c=4.9536 alpha=60.00 beta=60.00 gamma=60.00
Element x y z (fractional)
Pa 0.0000 0.0000 0.0000
Tc 0.2500 0.2500 0.2500
Pt 0.7500 0.7500 0.7500
Pm 0.5000 0.5000 0.5000

## Properties
formation energy from the elements: -396 meV per atom
calculated volume: 21.49 Å³/atom
spin magnetization: 0.0 μB per cell


The following is a DFT calculation (GGA-PBE) of a relaxed PmPaZnPt crystal.

Unit cell a=5.0449 b=5.0449 c=5.0449 alpha=60.00 beta=60.00 gamma=60.00
Element x y z (fractional)
Zn 0.0000 0.0000 0.0000
Pa 0.7500 0.7500 0.7500
Pt 0.5000 0.5000 0.5000
Pm 0.2500 0.2500 0.2500

## Properties
formation energy from the elements: -405 meV per atom
calculated volume: 22.70 Å³/atom
spin magnetization: 0.5 μB per cell


The following is a DFT calculation (GGA-PBE) of a relaxed PmPu2Pa crystal.

Unit cell a=3.3868 b=3.3868 c=11.0972 alpha=81.22 beta=81.22 gamma=60.00
Element x y z (fractional)
Pa 0.0000 0.0000 0.0000
Pm 0.5000 0.5000 0.5000
Pu 0.7432 0.7432 0.7703
Pu 0.2568 0.2568 0.2297

## Properties
formation energy from the elements: 176 meV per atom
calculated volume: 27.13 Å³/atom
spin magnetization: 11.2 μB per cell


The following is a DFT calculation (GGA-PBE) of a relaxed PmPu2Pa crystal.

Unit cell a=5.3895 b=5.3895 c=5.3895 alpha=60.00 beta=60.00 gamma=60.00
Element x y z (fractional)
Pa 0.5000 0.5000 0.5000
Pm 0.0000 0.0000 0.0000
Pu 0.2500 0.2500 0.2500
Pu 0.7500 0.7500 0.7500

## Properties
formation energy from the elements: 321 meV per atom
calculated volume: 27.67 Å³/atom
spin magnetization: 14.2 μB per cell


The following is a DFT calculation (GGA-PBE) of a relaxed PmPu2Pa crystal.

Unit cell a=3.3580 b=3.3580 c=9.4547 alpha=90.00 beta=90.00 gamma=90.00
Element x y z (fractional)
Pa 0.5000 0.5000 0.0000
Pm 0.5000 0.5000 0.5000
Pu 0.0000 0.0000 0.7805
Pu 0.0000 0.0000 0.2195

## Properties
formation energy from the elements: 127 meV per atom
calculated volume: 26.65 Å³/atom
spin magnetization: 10.6 μB per cell


The following is a DFT calculation (GGA-PBE) of a relaxed PmPuPa crystal.

Unit cell a=3.4345 b=3.4345 c=7.4255 alpha=103.37 beta=103.37 gamma=90.00
Element x y z (fractional)
Pa 0.6783 0.6783 0.3567
Pu 0.3143 0.3143 0.6286
Pm 0.0074 0.0074 0.0147

## Properties
formation energy from the elements: 151 meV per atom
calculated volume: 27.59 Å³/atom
spin magnetization: 5.9 μB per cell


The following is a DFT calculation (GGA-PBE) of a relaxed PmPuPa crystal.

Unit cell a=3.4119 b=3.4119 c=8.2647 alpha=90.00 beta=90.00 gamma=120.00
Element x y z (fractional)
Pa 0.3333 0.6667 0.6534
Pm 0.0000 0.0000 0.9904
Pu 0.6667 0.3333 0.3562

## Properties
formation energy from the elements: 179 meV per atom
calculated volume: 27.77 Å³/atom
spin magnetization: 6.0 μB per cell